A plane-wave DFT calculation with PBE-GGA was carried out for crystalline DyCd2IrO6 at its relaxed geometry.

Structure (POSCAR):
```
DyCd2IrO6
1.0
5.635 0.000 0.000
0.000 5.715 0.000
-5.632 0.000 8.089
Dy Cd Ir O
2 4 2 12
direct
0.000 0.000 0.000
0.000 0.500 0.500
0.253 0.042 0.747
0.253 0.458 0.247
0.747 0.542 0.753
0.747 0.958 0.253
0.500 0.000 0.500
0.500 0.500 0.000
0.159 0.057 0.269
0.159 0.443 0.769
0.263 0.677 0.055
0.263 0.823 0.555
0.394 0.211 0.063
0.394 0.289 0.563
0.606 0.711 0.437
0.606 0.789 0.937
0.737 0.177 0.445
0.737 0.323 0.945
0.841 0.557 0.231
0.841 0.943 0.731
```

Results
As for the crystal system: monoclinic. The size of the total moment is 2.03 μB per formula unit. The raw formation energy comes out at -1.52 eV/atom. The space group is P2_1/c, No. 14.

***

A plane-wave DFT calculation with PBE-GGA was carried out for crystalline DyCdIrPd at its relaxed geometry.

Structure (POSCAR):
```
DyCdIrPd
1.0
0.000 3.357 3.357
3.357 0.000 3.357
3.357 3.357 0.000
Dy Cd Ir Pd
1 1 1 1
direct
0.000 0.000 0.000
0.500 0.500 0.500
0.750 0.750 0.750
0.250 0.250 0.250
```

Results
As for the crystal system: cubic. For the energy relative to the elements, the calculation gives -0.5448 eV per atom. The size of the total moment is 0.00 μB per formula unit. The space group is F-43m, No. 216.

***

A plane-wave DFT calculation with PBE-GGA was carried out for crystalline PmDyCdIr at its relaxed geometry.

Structure (POSCAR):
```
PmDyCdIr
1.0
0.000 3.609 3.609
3.609 0.000 3.609
3.609 3.609 0.000
Pm Dy Cd Ir
1 1 1 1
direct
0.000 0.000 0.000
0.500 0.500 0.500
0.250 0.250 0.250
0.750 0.750 0.750
```

Results
As for the crystal system: cubic. For the energy relative to the elements, the calculation gives -0.4939 eV per atom. The size of the total moment is 0.00 μB per formula unit. The space group is F-43m, No. 216.

***

A plane-wave DFT calculation with PBE-GGA was carried out for crystalline PrDyCdIr at its relaxed geometry.

Structure (POSCAR):
```
PrDyCdIr
1.0
0.000 3.638 3.638
3.638 0.000 3.638
3.638 3.638 0.000
Pr Dy Cd Ir
1 1 1 1
direct
0.000 0.000 0.000
0.500 0.500 0.500
0.250 0.250 0.250
0.750 0.750 0.750
```

Results
As for the crystal system: cubic. For the energy relative to the elements, the calculation gives -0.4549 eV per atom. The size of the total moment is 0.00 μB per formula unit. The space group is F-43m, No. 216.

***

A plane-wave DFT calculation with PBE-GGA was carried out for crystalline DyPuCdIr at its relaxed geometry.

Structure (POSCAR):
```
DyPuCdIr
1.0
0.000 3.571 3.571
3.571 0.000 3.571
3.571 3.571 0.000
Dy Pu Cd Ir
1 1 1 1
direct
0.000 0.000 0.000
0.500 0.500 0.500
0.250 0.250 0.250
0.750 0.750 0.750
```

Results
As for the crystal system: cubic. For the energy relative to the elements, the calculation gives -0.3107 eV per atom. The size of the total moment is 5.26 μB per formula unit. The space group is F-43m, No. 216.

***

A plane-wave DFT calculation with PBE-GGA was carried out for crystalline Dy4CdIr2Rh at its relaxed geometry.

Structure (POSCAR):
```
Dy4CdIr2Rh
1.0
2.471 1.427 8.078
-2.471 1.427 8.078
0.000 -2.854 8.078
Dy Cd Ir Rh
4 1 2 1
direct
0.120 0.120 0.120
0.371 0.371 0.371
0.629 0.629 0.629
0.880 0.880 0.880
0.500 0.500 0.500
0.249 0.249 0.249
0.751 0.751 0.751
0.000 0.000 0.000
```

Results
As for the crystal system: trigonal. For the energy relative to the elements, the calculation gives -0.7180 eV per atom. The size of the total moment is 0.00 μB per formula unit. The space group is R-3m, No. 166.

***

Question: What is the size of the total moment in the second record?
Answer: 0.00 μB per formula unit

***

Question: What is the size of the total moment in the third record?
Answer: 0.00 μB per formula unit